Compound: NaW3O
Source: the Alexandria database
Functional: GGA+U
Structure: optimized geometry

Lattice parameters (Å, degrees): 4.268 4.268 4.268 90.00 90.00 90.00
Sites, in units of the cell vectors:
1 Na 0.500 0.500 0.500
2 O 0.000 0.000 0.000
3 W 0.000 0.500 0.000
4 W 0.000 0.000 0.500
5 W 0.500 0.000 0.000

Values from the calculation:
- final energy (eV/atom) = -4.4458
- symmetry = Pm-3m (221)
- ΔE to the lowest computed polymorph (eV/atom) = 0.0000